Entry 1:
Material: Pm3Cd2Ag6
Method: DFT, GGA-PBE
State: optimized geometry

Results
Energy relative to the elements   -0.907 eV per formula unit
Crystal system   tetragonal

a = 3.9946 Å, b = 3.9946 Å, c = 16.9986 Å
α = 96.75°, β = 96.75°, γ = 90.00°
Last column: magnetic moment on the atom in μB.
Sites, in units of the cell vectors:
Ag  0.0732  0.5732  0.1464  0.01
Ag  0.5732  0.0732  0.1464  0.01
Ag  0.9268  0.4268  0.8536  0.01
Ag  0.2729  0.2729  0.5457  0.00
Ag  0.4268  0.9268  0.8536  0.01
Ag  0.7271  0.7271  0.4543  0.00
Pm  0.0000  0.0000  0.0000  0.10
Pm  0.1815  0.1815  0.3630  0.00
Pm  0.8185  0.8185  0.6370  0.00
Cd  0.3649  0.3649  0.7298  0.00
Cd  0.6351  0.6351  0.2702  0.00

---

Entry 2:
Material: Pm3Cd3Ag2
Method: DFT, GGA-PBE
State: optimized geometry

Results
Energy above the most stable polymorph in this dataset   0 meV per atom
Energy relative to the elements   -2.234 eV per formula unit
Crystal system   hexagonal

a = 3.9930 Å, b = 7.7927 Å, c = 7.7927 Å
α = 120.00°, β = 90.00°, γ = 90.00°
Sites, in units of the cell vectors:
Pm  0.5000  0.0000  0.5935
Pm  0.5000  0.5935  0.0000
Pm  0.5000  0.4065  0.4065
Cd  0.0000  0.2307  0.0000
Cd  0.0000  0.0000  0.2307
Cd  0.0000  0.7693  0.7693
Ag  0.0000  0.3333  0.6667
Ag  0.0000  0.6667  0.3333

---

Entry 3:
Material: PmCd8Ag4
Method: DFT, GGA-PBE
State: optimized geometry

Results
Energy relative to the elements   -1.826 eV per formula unit
Crystal system   tetragonal

a = 5.6096 Å, b = 7.5905 Å, c = 7.5905 Å
α = 82.15°, β = 68.31°, γ = 68.31°
Sites, in units of the cell vectors:
Pm  0.0000  0.0000  0.0000
Ag  0.5000  0.0000  0.5000
Ag  0.5000  0.5000  0.0000
Ag  0.0000  0.5000  0.0000
Ag  0.0000  0.0000  0.5000
Cd  0.3458  0.6542  0.6542
Cd  0.2877  0.2123  0.2123
Cd  0.0000  0.3458  0.6542
Cd  0.6542  0.3458  0.3458
Cd  0.5000  0.7877  0.2123
Cd  0.5000  0.2123  0.7877
Cd  0.0000  0.6542  0.3458
Cd  0.7123  0.7877  0.7877

---

Entry 4:
Material: Pm3Cd2Ag2
Method: DFT, GGA-PBE
State: optimized geometry

Results
Energy relative to the elements   -1.472 eV per formula unit
Crystal system   orthorhombic

a = 3.7183 Å, b = 3.5860 Å, c = 14.1999 Å
α = 90.00°, β = 82.48°, γ = 90.00°
Last column: magnetic moment on the atom in μB.
Sites, in units of the cell vectors:
Pm  0.0000  0.0000  0.0000  -0.01
Pm  0.8634  0.0000  0.2733  0.10
Pm  0.1366  0.0000  0.7267  0.10
Cd  0.2894  0.5000  0.4213  0.00
Cd  0.7106  0.5000  0.5787  0.00
Ag  0.4328  0.5000  0.1344  0.00
Ag  0.5672  0.5000  0.8656  0.00

---

> The lowest energy relative to the elements belongs to which entry?

Pm3Cd3Ag2

---

> Among the records above, which one has the highest energy relative to the elements?

Pm3Cd2Ag6